Entry from Alexandria: a relaxed SrAlGaCu2 crystal (GGA-PBE).

```
SrAlGaCu2
1.0
4.737 0.000 0.000
0.000 4.899 0.000
0.000 0.000 4.737
Ga Sr Al Cu
1 1 1 2
Direct
0.000 0.000 0.000 Ga
0.500 0.500 0.500 Sr
0.000 0.500 0.000 Al
0.000 0.000 0.500 Cu
0.500 0.000 0.000 Cu
```

Calculated values
Relative energy among the computed polymorphs (meV per atom): 363
M_tot (μB/atom): 0.000
N(E_F) (states/eV/f.u.): 2.494
Crystal system: tetragonal

***

Entry from Alexandria: a relaxed SrAlGaCu crystal (GGA-PBE).

```
SrAlGaCu
1.0
4.285 0.000 0.000
-2.142 3.719 -0.005
0.000 -2.479 5.699
Al Cu Sr Ga
1 1 1 1
Direct
0.093 0.187 0.923 Al
0.430 0.859 0.932 Cu
0.619 0.238 0.498 Sr
0.824 0.648 0.114 Ga
```

Calculated values
M_tot (μB/atom): 0.000
N(E_F) (states/eV/f.u.): 1.434
Crystal system: monoclinic

***

Ordered formation enthalpy at 0 K results: 0.12, -0.31; unit eV/atom.
Ordered calculated total energy results: -3.205, -3.442; unit eV per atom.